A geometry-optimized Na2PaVO5 structure, computed with PBE with a Hubbard U.

```
Na2PaVO5
1.0
-4.114 -1.035 -0.224
0.327 -2.096 3.681
-1.925 6.783 4.033
O Na Pa V
5 2 1 1
Cartesian
-3.020 2.874 1.905
-0.440 1.550 0.922
-1.894 -1.565 1.729
-0.799 2.343 3.857
-1.485 5.232 3.111
-2.397 0.209 2.784
-3.315 3.443 4.707
-0.963 3.391 2.016
0.000 0.000 0.000
```

Calculated total energy = -7.055 eV/atom
Symmetry = No. 123